No. 1
This record from Alexandria describes a geometry-optimized P2PtBr structure. The functional is PBE. Values from VASP.

Geometry as Quantum ESPRESSO input:
```
&SYSTEM
  ibrav = 0, nat = 4, ntyp = 3
/
ATOMIC_SPECIES
P 30.97 P.upf
Pt 195.08 Pt.upf
Br 79.90 Br.upf
CELL_PARAMETERS angstrom
4.582 -0.017 0.000
0.004 4.582 0.000
-2.293 -2.282 3.245
ATOMIC_POSITIONS angstrom
P 0.002 2.291 1.622
P 0.000 0.000 0.000
Pt 2.293 2.282 0.000
Br 2.291 -0.009 1.622
```

Computed properties:
Energy above the most stable polymorph in this dataset ... 106.2 kJ/mol of atoms
Spin magnetization ... 0.00 μB/f.u.
N(E_F) ... 0.843 states/eV/atom

No. 2
This record from Alexandria describes a geometry-optimized PPt2Br structure. The functional is PBE. Values from VASP.

Geometry as Quantum ESPRESSO input:
```
&SYSTEM
  ibrav = 0, nat = 8, ntyp = 3
/
ATOMIC_SPECIES
Pt 195.08 Pt.upf
Br 79.90 Br.upf
P 30.97 P.upf
CELL_PARAMETERS angstrom
-3.465 0.814 5.241
-5.296 -0.193 -3.472
-4.572 -3.874 1.408
ATOMIC_POSITIONS angstrom
Pt -10.766 -2.349 2.820
Pt -3.756 -0.534 2.868
Pt -5.101 -0.936 -0.837
Pt -7.043 -2.684 1.504
Br -6.209 -1.374 3.767
Br 0.000 0.000 0.000
P -7.124 -1.878 -0.589
P -4.381 0.311 0.885
```

Computed properties:
Spin magnetization ... 0.00 μB/f.u.
N(E_F) ... 0.192 states/eV/atom

No. 3
This record from Alexandria describes a geometry-optimized PPt2Br structure. The functional is PBE. Values from VASP.

Geometry as Quantum ESPRESSO input:
```
&SYSTEM
  ibrav = 0, nat = 4, ntyp = 3
/
ATOMIC_SPECIES
P 30.97 P.upf
Br 79.90 Br.upf
Pt 195.08 Pt.upf
CELL_PARAMETERS angstrom
3.338 0.000 0.000
0.000 3.361 0.000
0.000 0.000 7.412
ATOMIC_POSITIONS angstrom
P 1.669 1.681 6.585
Br 0.000 0.000 3.215
Pt 1.669 1.681 1.467
Pt 0.000 0.000 7.262
```

Computed properties:
Spin magnetization ... 0.00 μB/f.u.
N(E_F) ... 0.854 states/eV/atom

No. 4
This record from Alexandria describes a geometry-optimized P2PtBr structure. The functional is PBE. Values from VASP.

Geometry as Quantum ESPRESSO input:
```
&SYSTEM
  ibrav = 0, nat = 4, ntyp = 3
/
ATOMIC_SPECIES
Pt 195.08 Pt.upf
Br 79.90 Br.upf
P 30.97 P.upf
CELL_PARAMETERS angstrom
-1.853 -2.119 -3.599
-0.440 -4.096 -1.975
-6.051 -0.630 4.495
ATOMIC_POSITIONS angstrom
Pt -4.775 -2.953 0.558
Br -2.503 -2.260 -0.574
P -5.408 -0.946 3.552
P -5.880 -4.741 -0.658
```

Computed properties:
Energy above the most stable polymorph in this dataset ... 33.8 kJ/mol of atoms
Spin magnetization ... 0.00 μB/f.u.
N(E_F) ... 0.563 states/eV/atom

No. 5
This record from Alexandria describes a geometry-optimized P2PtBr structure. The functional is PBE. Values from VASP.

Geometry as Quantum ESPRESSO input:
```
&SYSTEM
  ibrav = 0, nat = 4, ntyp = 3
/
ATOMIC_SPECIES
P 30.97 P.upf
Pt 195.08 Pt.upf
Br 79.90 Br.upf
CELL_PARAMETERS angstrom
-0.516 2.051 2.492
0.048 -2.519 2.082
7.200 0.817 0.820
ATOMIC_POSITIONS angstrom
P 1.473 -0.040 2.482
P 0.868 0.098 0.099
Pt 3.179 0.361 0.362
Br 4.811 0.338 2.862
```

Computed properties:
Energy above the most stable polymorph in this dataset ... 55.4 kJ/mol of atoms
Spin magnetization ... 0.00 μB/f.u.
N(E_F) ... 0.874 states/eV/atom

No. 6
This record from Alexandria describes a geometry-optimized PPt2Br structure. The functional is PBE. Values from VASP.

Geometry as Quantum ESPRESSO input:
```
&SYSTEM
  ibrav = 0, nat = 4, ntyp = 3
/
ATOMIC_SPECIES
Pt 195.08 Pt.upf
Br 79.90 Br.upf
P 30.97 P.upf
CELL_PARAMETERS angstrom
1.842 -3.523 -2.239
-2.694 -3.096 -1.992
-0.266 -0.202 -4.550
ATOMIC_POSITIONS angstrom
Pt -0.280 -1.705 -2.195
Pt -0.839 -5.116 -6.586
Br -0.559 -3.411 -4.390
P 0.000 0.000 0.000
```

Computed properties:
Spin magnetization ... 0.00 μB/f.u.
N(E_F) ... 0.252 states/eV/atom

No. 7
This record from Alexandria describes a geometry-optimized PPtBr structure. The functional is PBE. Values from VASP.

Geometry as Quantum ESPRESSO input:
```
&SYSTEM
  ibrav = 0, nat = 3, ntyp = 3
/
ATOMIC_SPECIES
P 30.97 P.upf
Br 79.90 Br.upf
Pt 195.08 Pt.upf
CELL_PARAMETERS angstrom
-1.928 2.784 5.173
1.264 -0.662 6.016
2.098 0.532 -5.792
ATOMIC_POSITIONS angstrom
P -0.145 0.464 2.446
Br -0.012 0.040 0.209
Pt -0.506 1.618 8.534
```

Computed properties:
Energy above the most stable polymorph in this dataset ... 12.6 kJ/mol of atoms
Spin magnetization ... 0.00 μB/f.u.
N(E_F) ... 0.388 states/eV/atom

No. 8
This record from Alexandria describes a geometry-optimized P2PtBr structure. The functional is PBE. Values from VASP.

Geometry as Quantum ESPRESSO input:
```
&SYSTEM
  ibrav = 0, nat = 4, ntyp = 3
/
ATOMIC_SPECIES
Pt 195.08 Pt.upf
P 30.97 P.upf
Br 79.90 Br.upf
CELL_PARAMETERS angstrom
-2.580 -6.090 0.226
2.696 -3.779 -4.716
-0.239 3.363 5.694
ATOMIC_POSITIONS angstrom
Pt -1.380 -3.831 1.838
P 0.108 -9.184 -4.178
P 0.066 -5.620 -2.557
Br 1.258 -2.675 -0.633
```

Computed properties:
Energy above the most stable polymorph in this dataset ... 71.0 kJ/mol of atoms
Spin magnetization ... 0.00 μB/f.u.
N(E_F) ... 0.854 states/eV/atom

No. 9
This record from Alexandria describes a geometry-optimized PPtBr structure. The functional is PBE. Values from VASP.

Geometry as Quantum ESPRESSO input:
```
&SYSTEM
  ibrav = 0, nat = 3, ntyp = 3
/
ATOMIC_SPECIES
Pt 195.08 Pt.upf
P 30.97 P.upf
Br 79.90 Br.upf
CELL_PARAMETERS angstrom
4.428 0.000 0.000
2.214 3.835 0.000
2.214 1.278 3.616
ATOMIC_POSITIONS angstrom
Pt 6.642 3.835 2.712
P 4.428 2.557 1.808
Br 0.000 0.000 0.000
```

Computed properties:
Energy above the most stable polymorph in this dataset ... 69.1 kJ/mol of atoms
Spin magnetization ... 0.00 μB/f.u.
N(E_F) ... 0.640 states/eV/atom

No. 10
This record from Alexandria describes a geometry-optimized PPtBr structure. The functional is PBE. Values from VASP.

Geometry as Quantum ESPRESSO input:
```
&SYSTEM
  ibrav = 0, nat = 3, ntyp = 3
/
ATOMIC_SPECIES
Br 79.90 Br.upf
P 30.97 P.upf
Pt 195.08 Pt.upf
CELL_PARAMETERS angstrom
3.532 0.000 0.000
-1.766 3.059 0.000
0.000 0.000 6.823
ATOMIC_POSITIONS angstrom
Br 0.000 0.000 6.156
P 0.000 2.039 3.128
Pt 1.766 1.020 4.362
```

Computed properties:
Energy above the most stable polymorph in this dataset ... 0.0 kJ/mol of atoms
Spin magnetization ... 0.00 μB/f.u.

No. 11
This record from Alexandria describes a geometry-optimized PPt2Br structure. The functional is PBE. Values from VASP.

Geometry as Quantum ESPRESSO input:
```
&SYSTEM
  ibrav = 0, nat = 4, ntyp = 3
/
ATOMIC_SPECIES
Pt 195.08 Pt.upf
Br 79.90 Br.upf
P 30.97 P.upf
CELL_PARAMETERS angstrom
6.970 0.705 -0.350
4.868 5.037 0.350
-5.665 -3.396 2.362
ATOMIC_POSITIONS angstrom
Pt 3.574 0.072 1.006
Pt 1.006 0.488 0.000
Br 5.387 2.613 0.000
P 2.125 2.045 1.356
```

Computed properties:
Spin magnetization ... 0.00 μB/f.u.
N(E_F) ... 0.277 states/eV/atom

No. 12
This record from Alexandria describes a geometry-optimized PPt2Br structure. The functional is PBE. Values from VASP.

Geometry as Quantum ESPRESSO input:
```
&SYSTEM
  ibrav = 0, nat = 4, ntyp = 3
/
ATOMIC_SPECIES
Br 79.90 Br.upf
P 30.97 P.upf
Pt 195.08 Pt.upf
CELL_PARAMETERS angstrom
3.226 0.000 0.000
0.000 7.043 0.000
0.000 0.000 3.789
ATOMIC_POSITIONS angstrom
Br 1.613 0.000 1.894
P 0.000 3.522 1.894
Pt 0.000 0.000 0.000
Pt 1.613 3.522 0.000
```

Computed properties:
Spin magnetization ... 0.00 μB/f.u.
N(E_F) ... 0.814 states/eV/atom

The records above give, respectively, formation energy (no corrections) values of 0.8470, -0.0870, 0.1056, 0.0968, 0.3200, 0.5385, -0.1070, 0.4821, 0.4781, -0.2379, 0.0380, 0.5588 eV/atom.